# 1
Here is an optimized crystal structure of KMo2W from Alexandria via LeMat-Bulk. Energies are from PBE.

Output
Its magnetic moment is 0.00 μB per formula unit. The calculation puts the energy relative to the lowest polymorph listed for this composition at 749 meV per atom. The total energy is -7.431 eV per atom.

abc: 5.674 5.674 2.589
angles: 90.00 90.00 117.20
Fractional coordinates of all 4 atoms:
K1 0.000 0.500 0.500
Mo1 0.000 0.000 0.000
Mo2 0.500 0.500 0.000
W1 0.500 0.000 0.500

# 2
Here is an optimized crystal structure of ErCu4As2 from Alexandria via LeMat-Bulk. Energies are from PBE.

Output
Its magnetic moment is 0.00 μB per formula unit. The total energy is -4.739 eV per atom.

abc: 3.933 7.421 7.421
angles: 90.00 90.00 90.00
Fractional coordinates of all 14 atoms:
As1 0.000 0.211 0.789
As2 0.000 0.789 0.211
As3 0.500 0.711 0.711
As4 0.500 0.289 0.289
Cu1 0.000 0.088 0.344
Cu2 0.000 0.912 0.656
Cu3 0.500 0.156 0.588
Cu4 0.500 0.844 0.412
Cu5 0.500 0.412 0.844
Cu6 0.500 0.588 0.156
Cu7 0.000 0.344 0.088
Cu8 0.000 0.656 0.912
Er1 0.500 0.000 0.000
Er2 0.000 0.500 0.500

# 3
Here is an optimized crystal structure of BiPb2F11 from Alexandria via LeMat-Bulk. Energies are from PBE.

Output
The raw formation energy is -2.03 eV per atom. Its magnetic moment is 0.00 μB per formula unit. The total energy is -4.312 eV per atom.

abc: 8.074 8.541 8.541
angles: 74.09 61.79 61.79
Fractional coordinates of all 28 atoms:
Bi1 0.750 0.750 0.750
Bi2 0.250 0.250 0.250
Pb1 0.640 0.681 0.319
Pb2 0.360 0.319 0.681
Pb3 0.860 0.181 0.819
Pb4 0.140 0.819 0.181
F1 0.636 0.705 0.564
F2 0.364 0.295 0.436
F3 0.095 0.564 0.705
F4 0.864 0.936 0.795
F5 0.905 0.436 0.295
F6 0.136 0.064 0.205
F7 0.405 0.795 0.936
F8 0.595 0.205 0.064
F9 0.500 0.500 0.500
F10 0.000 0.000 0.000
F11 0.873 0.785 0.215
F12 0.127 0.215 0.785
F13 0.627 0.285 0.715
F14 0.373 0.715 0.285
F15 0.458 0.961 0.325
F16 0.542 0.039 0.675
F17 0.256 0.325 0.961
F18 0.042 0.175 0.539
F19 0.744 0.675 0.039
F20 0.958 0.825 0.461
F21 0.244 0.539 0.175
F22 0.756 0.461 0.825